Ca5Mg2AlZn2: optimized geometry, PBE.

a b c (Å): 3.6889 12.5773 12.5773
angles (deg): 90.00 90.00 90.00
With the nearest neighbours (Å) after each atom.
Fractional positions:
Ca1 0.5000 0.2011 0.0347  2 Zn 3.02, 2 Al 3.16
Ca2 0.5000 0.7989 0.9653  2 Zn 3.02, 2 Al 3.16
Ca3 0.5000 0.0347 0.7989  2 Zn 3.02, 2 Al 3.16
Ca4 0.5000 0.7011 0.4653  2 Zn 3.02, 2 Al 3.16
Ca5 0.5000 0.9653 0.2011  2 Zn 3.02, 2 Al 3.16
Ca6 0.5000 0.2989 0.5347  2 Zn 3.02, 2 Al 3.16
Ca7 0.5000 0.5347 0.7011  2 Zn 3.02, 2 Al 3.16
Ca8 0.5000 0.4653 0.2989  2 Zn 3.02, 2 Al 3.16
Ca9 0.5000 0.5000 0.0000  4 Zn 3.12
Ca10 0.5000 0.0000 0.5000  4 Zn 3.12
Mg1 0.0000 0.6945 0.1945  1 Zn 2.91
Mg2 0.0000 0.3055 0.8055  1 Zn 2.91
Mg3 0.0000 0.1945 0.3055  1 Zn 2.91
Mg4 0.0000 0.8055 0.6945  1 Zn 2.91
Al1 0.0000 0.0000 0.0000  8 Ca 3.16
Al2 0.0000 0.5000 0.5000  8 Ca 3.16
Zn1 0.0000 0.1417 0.6417  1 Mg 2.91, 6 Ca 3.02-3.12
Zn2 0.0000 0.8583 0.3583  1 Mg 2.91, 6 Ca 3.02-3.12
Zn3 0.0000 0.6417 0.8583  1 Mg 2.91, 6 Ca 3.02-3.12
Zn4 0.0000 0.3583 0.1417  1 Mg 2.91, 6 Ca 3.02-3.12

Computed properties:
Crystal system   tetragonal
E_form   -88 meV/atom
Total magnetization   0.0 μB per formula unit

=====

FeTc2Ru: optimized geometry, PBE.

a b c (Å): 4.6276 4.6276 4.6652
angles (deg): 80.80 80.80 33.82
With the nearest neighbours (Å) after each atom.
Fractional positions:
Fe1 0.5003 0.5003 0.4984  7 Tc 2.64-2.71, 3 Ru 2.67-2.68, 2 Fe 2.69
Ru1 0.7508 0.7508 0.7476  7 Tc 2.64-2.74, 3 Fe 2.67-2.68, 2 Ru 2.69
Tc1 0.0027 0.0027 0.9928  3 Ru 2.67, 5 Tc 2.67-2.75, 4 Fe 2.67-2.71
Tc2 0.2462 0.2462 0.2612  3 Fe 2.64-2.67, 4 Ru 2.64-2.74, 5 Tc 2.67-2.75

Computed properties:
Crystal system   monoclinic
E_form   106 meV/atom
ΔE to the lowest computed polymorph   101 meV/atom
Total magnetization   1.7 μB per formula unit

=====

Na3TbNp3Se8: optimized geometry, PBE.

a b c (Å): 8.3416 8.3415 8.4847
angles (deg): 119.46 90.00 120.00
With the nearest neighbours (Å) after each atom.
Fractional positions:
Na1 0.0000 0.0000 0.0000  6 Se 3.06-3.08
Na2 0.0000 0.5000 0.0000  6 Se 3.06-3.08
Na3 0.5000 0.5000 0.0000  6 Se 3.06-3.08
Tb1 0.0000 0.0000 0.5000  6 Se 2.89
Np1 0.5000 0.0000 0.5000  6 Se 2.88-2.89
Np2 0.5000 0.5000 0.5000  6 Se 2.88-2.89
Np3 0.0000 0.5000 0.5000  6 Se 2.88-2.89
Se1 0.2569 0.5137 0.2706  3 Np 2.89, 3 Na 3.06
Se2 0.7431 0.4863 0.7294  3 Np 2.89, 3 Na 3.06
Se3 0.7569 0.5139 0.2735  2 Np 2.88, 1 Tb 2.89, 2 Na 3.08
Se4 0.2431 0.4861 0.7265  2 Np 2.88, 1 Tb 2.89, 2 Na 3.08
Se5 0.7569 0.0165 0.2735  2 Np 2.88, 1 Tb 2.89, 2 Na 3.08
Se6 0.2431 0.9835 0.7265  2 Np 2.88, 1 Tb 2.89, 2 Na 3.08
Se7 0.2595 0.0165 0.2735  2 Np 2.88, 1 Tb 2.89, 2 Na 3.08
Se8 0.7405 0.9835 0.7265  2 Np 2.88, 1 Tb 2.89, 2 Na 3.08

Computed properties:
Crystal system   trigonal
Formation energy without anion corrections   -1.31 eV/atom
Total magnetization   11.0 μB per formula unit

=====

CeLuCuRu: optimized geometry, PBE.

a b c (Å): 4.8458 4.8458 4.8458
angles (deg): 60.00 60.00 60.00
With the nearest neighbours (Å) after each atom.
Fractional positions:
Ru1 0.7500 0.7500 0.7500  4 Ce 2.97, 4 Lu 2.97
Lu1 0.5000 0.5000 0.5000  4 Ru 2.97, 4 Cu 2.97
Cu1 0.2500 0.2500 0.2500  4 Ce 2.97, 4 Lu 2.97
Ce1 0.0000 0.0000 0.0000  4 Ru 2.97, 4 Cu 2.97

Computed properties:
Crystal system   cubic
E_form   -295 meV/atom
Total magnetization   0.0 μB per formula unit

=====

RbMo3As: optimized geometry, PBE.

a b c (Å): 4.8606 4.8606 4.8606
angles (deg): 90.00 90.00 90.00
With the nearest neighbours (Å) after each atom.
Fractional positions:
Mo1 0.0000 0.5000 0.0000  2 As 2.43
Mo2 0.0000 0.0000 0.5000  2 As 2.43
Mo3 0.5000 0.0000 0.0000  2 As 2.43
As1 0.0000 0.0000 0.0000  6 Mo 2.43
Rb1 0.5000 0.5000 0.5000  12 Mo 3.44

Computed properties:
Crystal system   cubic
E_form   1612 meV/atom
ΔE to the lowest computed polymorph   0 meV/atom
Total magnetization   3.8 μB per formula unit

=====

YHoU: optimized geometry, PBE.

a b c (Å): 3.8087 5.5167 16.8085
angles (deg): 90.00 90.00 90.00
With the nearest neighbours (Å) after each atom.
Fractional positions:
Ho1 0.7500 0.0009 0.7278  6 Ho 3.43-3.81, 2 U 3.57, 4 Y 3.60
Ho2 0.2500 0.5009 0.7721  6 Ho 3.43-3.81, 2 U 3.57, 4 Y 3.60
Ho3 0.2500 0.9991 0.2722  6 Ho 3.43-3.81, 2 U 3.57, 4 Y 3.60
Ho4 0.7500 0.4991 0.2279  6 Ho 3.43-3.81, 2 U 3.57, 4 Y 3.60
U1 0.7500 0.9999 0.4519  2 U 2.50
U2 0.2500 0.4999 0.0481  2 U 2.50
U3 0.2500 0.0001 0.5481  2 U 2.50
U4 0.7500 0.5001 0.9519  2 U 2.50
Y1 0.7500 0.5003 0.5904  6 U 3.43-3.61, 4 Y 3.59-3.81, 4 Ho 3.60
Y2 0.2500 0.0003 0.9096  6 U 3.43-3.61, 4 Y 3.59-3.81, 4 Ho 3.60
Y3 0.2500 0.4997 0.4096  6 U 3.43-3.61, 4 Y 3.59-3.81, 4 Ho 3.60
Y4 0.7500 0.9997 0.0904  6 U 3.43-3.61, 4 Y 3.59-3.81, 4 Ho 3.60

Computed properties:
Crystal system   orthorhombic
E_form   198 meV/atom
Total magnetization   1.5 μB per formula unit

=====

Nd8Ho2Tm: optimized geometry, PBE.

a b c (Å): 5.4856 8.5652 8.5652
angles (deg): 104.84 90.03 90.03
With the nearest neighbours (Å) after each atom.
Fractional positions:
Nd1 0.9993 0.9699 0.7010  7 Nd 3.44-3.75, 2 Ho 3.51-3.76, 2 Tm 3.71-3.72
Nd2 0.9993 0.7010 0.9699  7 Nd 3.44-3.75, 2 Ho 3.51-3.76, 2 Tm 3.71-3.72
Nd3 0.4998 0.6655 0.6655  7 Nd 3.46-3.78, 1 Tm 3.49, 4 Ho 3.62-3.63
Nd4 0.5000 0.2523 0.7477  2 Ho 3.25, 1 Tm 3.42, 4 Nd 3.61
Nd5 0.5000 0.7477 0.2523  2 Ho 3.25, 1 Tm 3.42, 4 Nd 3.61
Nd6 0.5002 0.3345 0.3345  7 Nd 3.46-3.78, 1 Tm 3.49, 4 Ho 3.62-3.63
Nd7 0.0007 0.2990 0.0301  7 Nd 3.44-3.75, 2 Ho 3.51-3.76, 2 Tm 3.71-3.72
Nd8 0.0007 0.0301 0.2990  7 Nd 3.44-3.75, 2 Ho 3.51-3.76, 2 Tm 3.71-3.72
Ho1 0.0000 0.6193 0.3807  1 Ho 3.24, 8 Nd 3.25-3.63
Ho2 0.0000 0.3807 0.6193  1 Ho 3.24, 8 Nd 3.25-3.63
Tm1 0.5000 0.0000 0.0000  12 Nd 3.42-3.72

Computed properties:
Crystal system   orthorhombic
E_form   159 meV/atom
ΔE to the lowest computed polymorph   0 meV/atom
Total magnetization   0.0 μB per formula unit

=====

Pu3Zn7Ir4: optimized geometry, PBE.

a b c (Å): 4.1369 7.8655 8.5823
angles (deg): 72.04 76.05 74.75
With the nearest neighbours (Å) after each atom.
Fractional positions:
Pu1 0.2991 0.1860 0.2157  4 Ir 2.82-2.93, 5 Zn 3.05-3.16
Pu2 0.7009 0.8140 0.7843  4 Ir 2.82-2.93, 5 Zn 3.05-3.16
Pu3 0.0000 0.5000 0.5000  6 Ir 3.06-3.16, 4 Zn 3.35
Zn1 0.3233 0.8441 0.5093  4 Ir 2.57-2.70, 1 Zn 2.81
Zn2 0.4849 0.2233 0.8069  3 Ir 2.54-2.60, 3 Zn 2.73-2.81
Zn3 0.8435 0.3862 0.9269  3 Ir 2.65-2.68, 3 Zn 2.73-2.83
Zn4 0.6767 0.1559 0.4907  4 Ir 2.57-2.70, 1 Zn 2.81
Zn5 0.1565 0.6138 0.0731  3 Ir 2.65-2.68, 3 Zn 2.73-2.83
Zn6 0.0000 0.0000 0.0000  2 Ir 2.52
Zn7 0.5151 0.7767 0.1931  3 Ir 2.54-2.60, 3 Zn 2.73-2.81
Ir1 0.6658 0.4329 0.2354  5 Zn 2.54-2.68, 2 Pu 2.82
Ir2 0.3342 0.5671 0.7646  5 Zn 2.54-2.68, 2 Pu 2.82
Ir3 0.8908 0.9049 0.3135  6 Zn 2.52-2.70
Ir4 0.1092 0.0951 0.6865  6 Zn 2.52-2.70

Computed properties:
Crystal system   monoclinic
E_form   -330 meV/atom
Total magnetization   15.3 μB per formula unit

=====

ErSn2Ir: optimized geometry, PBE.

a b c (Å): 3.3260 3.3260 10.4341
angles (deg): 80.83 80.83 60.00
With the nearest neighbours (Å) after each atom.
Fractional positions:
Ir1 0.5000 0.5000 0.5000  6 Sn 2.77
Sn1 0.1016 0.1016 0.6951  3 Ir 2.77
Sn2 0.8984 0.8984 0.3049  3 Ir 2.77
Er1 0.0000 0.0000 0.0000  2 Sn 3.13, 6 Er 3.33

Computed properties:
Crystal system   trigonal
E_form   93 meV/atom
Total magnetization   0.0 μB per formula unit

=====

LaSc2Te: optimized geometry, PBE.

a b c (Å): 4.5951 4.7103 4.7103
angles (deg): 90.00 90.00 90.00
With the nearest neighbours (Å) after each atom.
Fractional positions:
La1 0.5000 0.0000 0.5000  8 Sc 3.29, 4 Te 3.33
Sc1 0.0000 0.0000 0.0000  4 Te 3.29, 4 La 3.29, 4 Sc 3.33
Sc2 0.0000 0.5000 0.5000  4 La 3.29, 4 Te 3.29, 4 Sc 3.33
Te1 0.5000 0.5000 0.0000  8 Sc 3.29, 4 La 3.33

Computed properties:
Crystal system   tetragonal
Formation energy without anion corrections   -0.45 eV/atom
Total magnetization   0.0 μB per formula unit

=====

LiNpAg2O8: optimized geometry, PBE.

a b c (Å): 6.0002 6.0002 6.0002
angles (deg): 112.80 112.80 103.00
With the nearest neighbours (Å) after each atom.
Fractional positions:
Li1 0.2500 0.7500 0.5000  4 O 2.22
Np1 0.0000 0.0000 0.0000  4 O 1.93
Ag1 0.7500 0.2500 0.5000  4 O 2.18
Ag2 0.5000 0.5000 0.0000  4 O 2.00
O1 0.3156 0.0272 0.2884  1 Np 1.93
O2 0.2780 0.4459 0.1678  1 Ag 2.00, 1 Li 2.22, 1 O 2.23
O3 0.2780 0.1102 0.8322  1 Ag 2.00, 1 Li 2.22, 1 O 2.23
O4 0.7388 0.0272 0.7116  1 Np 1.93
O5 0.8898 0.7220 0.1678  1 Ag 2.00, 1 Li 2.22, 1 O 2.23
O6 0.9728 0.2612 0.2884  1 Np 1.93
O7 0.9728 0.6844 0.7116  1 Np 1.93
O8 0.5541 0.7220 0.8322  1 Ag 2.00, 1 Li 2.22, 1 O 2.23

Computed properties:
Crystal system   tetragonal
Formation energy without anion corrections   -0.75 eV/atom
Total magnetization   0.0 μB per formula unit

=====

Mn4V5Mo: optimized geometry, PBE.

a b c (Å): 2.9120 2.9120 14.6875
angles (deg): 90.00 90.00 90.00
With the nearest neighbours (Å) after each atom.
Fractional positions:
Mn1 0.0000 0.0000 0.2077  8 V 2.51
Mn2 0.0000 0.0000 0.4026  8 V 2.50-2.51
Mn3 0.0000 0.0000 0.5974  8 V 2.50-2.51
Mn4 0.0000 0.0000 0.7923  8 V 2.51
V1 0.5000 0.5000 0.1106  4 Mn 2.51, 4 Mo 2.62
V2 0.5000 0.5000 0.3057  8 Mn 2.50-2.51
V3 0.5000 0.5000 0.5000  8 Mn 2.51
V4 0.5000 0.5000 0.6943  8 Mn 2.50-2.51
V5 0.5000 0.5000 0.8894  4 Mn 2.51, 4 Mo 2.62
Mo1 0.0000 0.0000 0.0000  8 V 2.62, 4 Mo 2.91

Computed properties:
Crystal system   tetragonal
E_form   -210 meV/atom
Total magnetization   0.0 μB per formula unit

=====

ZnMoAs: optimized geometry, PBE.

a b c (Å): 4.2799 4.2799 4.2799
angles (deg): 60.00 60.00 60.00
With the nearest neighbours (Å) after each atom.
Fractional positions:
As1 0.5000 0.5000 0.5000  4 Mo 2.62
Mo1 0.7500 0.7500 0.7500  4 As 2.62, 4 Zn 2.62
Zn1 0.0000 0.0000 0.0000  4 Mo 2.62

Computed properties:
Crystal system   cubic
E_form   431 meV/atom
ΔE to the lowest computed polymorph   440 meV/atom
Total magnetization   1.0 μB per formula unit

=====

CsRbS2: optimized geometry, PBE.

a b c (Å): 4.7550 5.2333 5.2333
angles (deg): 90.00 90.00 90.00
With the nearest neighbours (Å) after each atom.
Fractional positions:
Cs1 0.5000 0.5000 0.5000  8 S 3.54, 4 Rb 3.70
S1 0.0000 0.0000 0.5000  4 Cs 3.54, 4 Rb 3.54, 4 S 3.70
S2 0.0000 0.5000 0.0000  4 Cs 3.54, 4 Rb 3.54, 4 S 3.70
Rb1 0.5000 0.0000 0.0000  8 S 3.54, 4 Cs 3.70

Computed properties:
Crystal system   tetragonal
Formation energy without anion corrections   -0.40 eV/atom
ΔE to the lowest computed polymorph   477 meV/atom
Total magnetization   0.0 μB per formula unit

=====

SrCd4Ag: optimized geometry, PBE.

a b c (Å): 4.6149 7.6885 8.9791
angles (deg): 90.00 104.89 90.00
With the nearest neighbours (Å) after each atom.
Fractional positions:
Sr1 0.1240 0.2500 0.2480  9 Cd 3.36-3.69, 2 Ag 3.37
Sr2 0.8760 0.7500 0.7520  9 Cd 3.36-3.69, 2 Ag 3.37
Cd1 0.5000 0.5000 0.0000  6 Cd 3.09-3.24
Cd2 0.5000 0.0000 0.0000  6 Cd 3.09-3.24
Cd3 0.6759 0.9422 0.3519  3 Ag 2.83-2.92, 2 Cd 2.96-3.09
Cd4 0.3241 0.0578 0.6481  3 Ag 2.83-2.92, 2 Cd 2.96-3.09
Cd5 0.3241 0.4422 0.6481  3 Ag 2.83-2.92, 2 Cd 2.96-3.09
Cd6 0.6759 0.5578 0.3519  3 Ag 2.83-2.92, 2 Cd 2.96-3.09
Cd7 0.0694 0.7500 0.1387  1 Ag 2.86
Cd8 0.9306 0.2500 0.8613  1 Ag 2.86
Ag1 0.2343 0.7500 0.4687  7 Cd 2.83-2.92
Ag2 0.7657 0.2500 0.5313  7 Cd 2.83-2.92

Computed properties:
Crystal system   orthorhombic
E_form   -199 meV/atom
ΔE to the lowest computed polymorph   0 meV/atom
Total magnetization   0.0 μB per formula unit

=====

PuU4Ge: optimized geometry, PBE.

a b c (Å): 8.1335 8.1335 5.4197
angles (deg): 74.56 74.56 45.19
With the nearest neighbours (Å) after each atom.
Fractional positions:
Pu1 0.4446 0.4446 0.3256  5 U 2.42-2.49
Pu2 0.5554 0.5554 0.6744  5 U 2.42-2.49
U1 0.2981 0.2981 0.2242  1 Pu 2.42
U2 0.3450 0.9020 0.3455  1 Pu 2.49, 1 U 2.77
U3 0.2137 0.7863 0.0000  2 Pu 2.48, 1 U 2.67
U4 0.0980 0.6550 0.6545  1 Pu 2.49, 1 U 2.77
U5 0.7019 0.7019 0.7758  1 Pu 2.42
U6 0.6550 0.0980 0.6545  1 Pu 2.49, 1 U 2.77
U7 0.7863 0.2137 0.0000  2 Pu 2.48, 1 U 2.67
U8 0.9020 0.3450 0.3455  1 Pu 2.49, 1 U 2.77
Ge1 0.1934 0.1934 0.8125  12 U 3.08-3.31
Ge2 0.8066 0.8066 0.1875  12 U 3.08-3.31

Computed properties:
Crystal system   monoclinic
E_form   -50 meV/atom
Total magnetization   0.0 μB per formula unit

=====

Th3Tc3B8: optimized geometry, PBE.

a b c (Å): 3.2136 8.2789 8.2789
angles (deg): 63.62 78.81 78.81
With the nearest neighbours (Å) after each atom.
Fractional positions:
Th1 0.5000 0.5000 0.5000  12 B 2.87-3.02, 4 Tc 2.96, 2 Th 3.21
Th2 0.7752 0.2248 0.2248  12 B 2.92-3.04, 2 Th 3.21
Th3 0.2248 0.7752 0.7752  12 B 2.92-3.04, 2 Th 3.21
Tc1 0.5000 0.0000 0.0000  4 Tc 2.47, 4 B 2.73
Tc2 0.0000 0.7846 0.2154  6 B 2.14-2.39
Tc3 0.0000 0.2154 0.7846  6 B 2.14-2.39
B1 0.6279 0.1115 0.6326  2 B 1.74
B2 0.3721 0.8885 0.3674  2 B 1.74
B3 0.6279 0.6326 0.1115  2 B 1.74
B4 0.3721 0.3674 0.8885  2 B 1.74
B5 0.8567 0.8310 0.4555  2 B 1.74
B6 0.1433 0.1690 0.5445  2 B 1.74
B7 0.8567 0.4555 0.8310  2 B 1.74
B8 0.1433 0.5445 0.1690  2 B 1.74

Computed properties:
Crystal system   orthorhombic
E_form   -174 meV/atom
Total magnetization   0.0 μB per formula unit

=====

KTl10Hg2: optimized geometry, PBE.

a b c (Å): 6.3588 8.6441 8.6966
angles (deg): 82.27 68.56 68.42
With the nearest neighbours (Å) after each atom.
Fractional positions:
K1 0.0000 0.0000 0.0000  16 Tl 3.99-4.35, 4 Hg 4.32
Tl1 0.3580 0.6391 0.6449  6 Tl 3.24-3.61, 2 Hg 3.47
Tl2 0.6420 0.3609 0.3551  6 Tl 3.24-3.61, 2 Hg 3.47
Tl3 0.9971 0.3609 0.6449  6 Tl 3.24-3.61, 2 Hg 3.47
Tl4 0.0029 0.6391 0.3551  6 Tl 3.24-3.61, 2 Hg 3.47
Tl5 0.0000 0.0000 0.5000  10 Tl 3.18-3.51
Tl6 0.5000 0.0000 0.5000  10 Tl 3.18-3.51
Tl7 0.2892 0.2156 0.2061  2 Hg 3.25, 7 Tl 3.34-3.61
Tl8 0.7108 0.7844 0.7939  2 Hg 3.25, 7 Tl 3.34-3.61
Tl9 0.5047 0.7844 0.2061  2 Hg 3.25, 7 Tl 3.34-3.61
Tl10 0.4953 0.2156 0.7939  2 Hg 3.25, 7 Tl 3.34-3.61
Hg1 0.0000 0.5000 0.0000  2 Hg 3.18, 8 Tl 3.25-3.47
Hg2 0.5000 0.5000 0.0000  2 Hg 3.18, 8 Tl 3.25-3.47

Computed properties:
Crystal system   orthorhombic
E_form   -19 meV/atom
Total magnetization   0.0 μB per formula unit